[1]
Below is crystalline CeScAl at its relaxed geometry, with properties calculated at the PBE level.

Cell: 4.4573 4.4573 7.7610 Å, 90.00 90.00 90.00°
Sites, in units of the cell vectors:
1 Ce 0.2500 0.2500 0.1768
2 Ce 0.7500 0.7500 0.8232
3 Sc 0.2500 0.2500 0.7260
4 Sc 0.7500 0.7500 0.2740
5 Al 0.2500 0.7500 0.5000
6 Al 0.7500 0.2500 0.5000

Energy relative to the lowest polymorph listed for this composition: 5.130 kcal/mol of atoms
Total magnetization: 1.81 μB/f.u.
E_tot: -5.32 eV/atom

***

[2]
Below is crystalline AcNdGeS at its relaxed geometry, with properties calculated at the PBE level.

Cell: 7.5117 7.5117 7.5117 Å, 33.71 33.71 33.71°
Sites, in units of the cell vectors:
1 Ac 0.0000 0.0000 0.0000
2 Nd 0.5000 0.5000 0.5000
3 Ge 0.2447 0.2447 0.2447
4 S 0.7539 0.7539 0.7539

Formation energy from raw total energies: -1.3934 eV per atom
Total magnetization: 0.00 μB/f.u.
E_tot: -5.80 eV/atom

***

[3]
Below is crystalline Na2In5Sn4 at its relaxed geometry, with properties calculated at the PBE level.

Cell: 6.7065 6.7065 9.9092 Å, 119.11 119.11 58.76°
Sites, in units of the cell vectors:
1 Na 0.2065 0.2065 0.2640
2 Na 0.7935 0.7935 0.7360
3 In 0.2629 0.7187 0.6583
4 In 0.2813 0.7371 0.3417
5 In 0.5000 0.5000 0.0000
6 In 0.7187 0.2629 0.6583
7 In 0.7371 0.2813 0.3417
8 Sn 0.2064 0.2064 0.9422
9 Sn 0.2259 0.2259 0.6381
10 Sn 0.7741 0.7741 0.3619
11 Sn 0.7936 0.7936 0.0578

Energy relative to the lowest polymorph listed for this composition: 0.489 kcal/mol of atoms
Total magnetization: 0.00 μB/f.u.
E_tot: -2.96 eV/atom

***

[4]
Below is crystalline CrSeBr2 at its relaxed geometry, with properties calculated at the PBE level.

Cell: 7.4879 7.4879 7.4879 Å, 149.85 149.85 43.16°
Sites, in units of the cell vectors:
1 Cr 0.0000 0.0000 0.0000
2 Se 0.2500 0.7500 0.5000
3 Br 0.5000 0.5000 0.0000
4 Br 0.7500 0.2500 0.5000

Formation energy from raw total energies: 0.2033 eV per atom
Energy relative to the lowest polymorph listed for this composition: 14.202 kcal/mol of atoms
Total magnetization: 4.63 μB/f.u.
E_tot: -3.91 eV/atom

***

[5]
Below is crystalline Pm2TlN at its relaxed geometry, with properties calculated at the PBE level.

Cell: 3.2074 3.2074 8.2285 Å, 90.00 90.00 90.00°
Sites, in units of the cell vectors:
1 Pm 0.0000 0.0000 0.1793
2 Pm 0.0000 0.0000 0.8207
3 Tl 0.5000 0.5000 0.5000
4 N 0.5000 0.5000 0.0000

Formation energy from raw total energies: -0.4184 eV per atom
Energy relative to the lowest polymorph listed for this composition: 10.570 kcal/mol of atoms
Total magnetization: 0.00 μB/f.u.
E_tot: -5.47 eV/atom

***

[6]
Below is crystalline Zr2NiPt at its relaxed geometry, with properties calculated at the PBE level.

Cell: 5.2721 5.2721 5.2721 Å, 135.75 135.75 64.37°
Sites, in units of the cell vectors:
1 Zr 0.0000 0.0000 0.0000
2 Zr 0.7500 0.2500 0.5000
3 Ni 0.2500 0.7500 0.5000
4 Pt 0.5000 0.5000 0.0000

Total magnetization: 0.00 μB/f.u.
E_tot: -7.77 eV/atom